1.
12
Lattice="5.213 0.000 0.000 0.000 8.912 0.000 0.000 0.000 8.953" Properties=species:S:1:pos:R:3 comment="RbSrAs, single point on PBEsol structure, DFT meta-GGA SCAN" total_energy_ev_per_atom=-22.015 e_form_mev_per_atom=-946 dos_at_fermi_per_ev_cell=0.00 magnetic_moment_mub_per_cell=0.000 pbc="T T T"
As 3.910 6.242 5.408
As 1.303 7.126 0.932
As 1.303 2.670 3.544
As 3.910 1.786 8.021
Rb 3.910 8.773 2.983
Rb 3.910 4.317 1.494
Rb 1.303 4.595 7.459
Rb 1.303 0.139 5.970
Sr 3.910 7.586 8.217
Sr 1.303 5.782 3.740
Sr 1.303 1.326 0.736
Sr 3.910 3.130 5.212

=====

2.
4
Lattice="-0.267 2.593 4.074 -2.566 -1.650 3.753 2.263 -1.528 3.992" Properties=species:S:1:pos:R:3 comment="RbHf2Ru, single point on PBEsol structure, DFT meta-GGA SCAN" total_energy_ev_per_atom=-44.344 e_form_mev_per_atom=884 dos_at_fermi_per_ev_cell=3.86 magnetic_moment_mub_per_cell=0.000 pbc="T T T"
Rb 0.000 0.000 0.000
Hf -0.428 -0.439 8.864
Hf -0.143 -0.146 2.955
Ru -0.285 -0.292 5.909

=====

3.
4
Lattice="3.815 0.000 0.000 0.000 3.815 0.000 0.000 0.000 3.815" Properties=species:S:1:pos:R:3 comment="Rh3W, single point on PBEsol structure, DFT meta-GGA SCAN" total_energy_ev_per_atom=-42.982 e_form_mev_per_atom=-231 dos_at_fermi_per_ev_cell=2.46 magnetic_moment_mub_per_cell=0.000 pbc="T T T"
Rh 1.907 0.000 0.000
Rh 0.000 1.907 0.000
Rh 0.000 0.000 1.907
W 1.907 1.907 1.907

=====

4.
4
Lattice="3.637 0.000 0.000 0.000 4.894 0.000 -1.818 -2.447 4.733" Properties=species:S:1:pos:R:3 comment="HgPbAu2, single point on PBEsol structure, DFT meta-GGA SCAN" total_energy_ev_per_atom=-70.492 e_form_mev_per_atom=73 polymorph_energy_mev_per_atom=96 dos_at_fermi_per_ev_cell=1.26 magnetic_moment_mub_per_cell=0.000 pbc="T T T"
Au 0.000 0.000 0.149
Au 1.818 0.000 2.262
Hg 0.000 0.000 4.574
Pb 0.000 2.447 2.482

=====

5.
5
Lattice="-4.039 -1.365 0.054 1.305 -3.783 2.018 -0.599 1.929 4.001" Properties=species:S:1:pos:R:3 comment="TiCu2TcW, single point on PBEsol structure, DFT meta-GGA SCAN" total_energy_ev_per_atom=-28.543 e_form_mev_per_atom=1692 dos_at_fermi_per_ev_cell=3.96 magnetic_moment_mub_per_cell=0.000 pbc="T T T"
Ti -2.020 -0.683 0.027
W -1.666 -1.610 3.037
Cu -0.299 0.964 2.001
Cu 0.653 -1.891 1.009
Tc 0.000 0.000 0.000

=====

6.
4
Lattice="-1.742 3.577 -0.534 -1.315 -1.178 -3.606 -1.620 -2.498 3.642" Properties=species:S:1:pos:R:3 comment="Al2IrSe, single point on PBEsol structure, DFT meta-GGA SCAN" total_energy_ev_per_atom=-26.888 dos_at_fermi_per_ev_cell=1.17 magnetic_moment_mub_per_cell=0.000 pbc="T T T"
Ir -1.529 1.200 -2.070
Al -2.232 -1.239 -1.016
Al -2.445 1.139 0.520
Se 0.000 0.000 0.000

=====

7.
5
Lattice="-0.130 1.918 4.604 3.660 -3.983 1.762 4.353 3.424 -1.304" Properties=species:S:1:pos:R:3 comment="SrReSn2Bi, single point on PBEsol structure, DFT meta-GGA SCAN" total_energy_ev_per_atom=-46.762 e_form_mev_per_atom=1997 dos_at_fermi_per_ev_cell=3.75 magnetic_moment_mub_per_cell=2.007 pbc="T T T"
Sr 0.000 0.000 0.000
Bi 3.942 0.679 2.531
Sn 2.176 1.712 -0.652
Sn 1.830 -1.991 0.881
Re -0.065 0.959 2.302

=====

8.
4
Lattice="3.196 0.000 0.000 -1.598 3.256 0.000 0.000 0.000 8.387" Properties=species:S:1:pos:R:3 comment="FeSeCl2, single point on PBEsol structure, DFT meta-GGA SCAN" total_energy_ev_per_atom=-13.713 polymorph_energy_mev_per_atom=0 dos_at_fermi_per_ev_cell=2.32 magnetic_moment_mub_per_cell=3.029 pbc="T T T"
Se 1.598 0.000 5.959
Cl 1.598 0.000 2.677
Cl 0.000 0.000 8.051
Fe 0.000 0.000 4.281

=====

What is the formula in the eighth record?
FeSeCl2

=====

Which formula does entry 2 have?
RbHf2Ru